DFT (GGA-PBE) results for crystalline DyCuTe3Pb at its relaxed geometry.

```
data_DyCuTe3Pb
_space_group_name_H-M_alt 'P 1 21/m 1'
_space_group_IT_number 11
_cell_length_a 9.1684
_cell_length_b 4.3002
_cell_length_c 9.6678
_cell_angle_alpha 90.00
_cell_angle_beta 104.54
_cell_angle_gamma 90.00
loop_
_space_group_symop_operation_xyz
'x,y,z'
'-x,-y,-z'
'-x,y+1/2,-z'
'x,-y+1/2,z'
loop_
_atom_site_label
_atom_site_type_symbol
_atom_site_fract_x
_atom_site_fract_y
_atom_site_fract_z
Dy1 Dy 0.1757 0.2500 0.1677
Cu1 Cu 0.4258 0.7500 0.4257
Te1 Te 0.0659 0.2500 0.8346
Te2 Te 0.2741 0.2500 0.4911
Te3 Te 0.4041 0.7500 0.1373
Pb1 Pb 0.3137 0.7500 0.7602
```

The formation energy (no corrections) comes out at -0.707 eV/atom. As for the density: 7345 kg/m3.